DFT (PBE with a Hubbard U) results for crystalline MgCrF4 at its relaxed geometry.

It has space group I-4m2 (No. 119), with a = 3.977 Å, b = 3.977 Å, c = 10.383 Å, α = 90.00°, β = 90.00° and γ = 90.00°. The asymmetric unit holds Mg at (0.000, 0.000, 0.000), Cr at (0.000, 0.500, 0.250), F at (0.000, 0.000, 0.203) and F at (0.000, 0.500, 0.025).

The value obtained for the excess energy over the best structure of this formula in the dataset is 0.0302 eV per atom. For the density of states at the Fermi level, the calculation gives 0.0 states/eV per cell. Its spin magnetization is 8.0 Bohr magnetons per cell.